(1)
! Li3Th2Ni12Ge | the Alexandria database | GGA-PBE | relaxed; values from VASP
&SYSTEM
  ibrav = 0, nat = 18, ntyp = 4
/
ATOMIC_SPECIES
Li 6.94 Li.upf
Th 232.04 Th.upf
Ni 58.69 Ni.upf
Ge 72.64 Ge.upf
CELL_PARAMETERS angstrom
-2.395 -5.140 7.430
3.010 -2.931 8.349
-1.753 0.472 9.169
ATOMIC_POSITIONS crystal
Li 0.500 0.000 0.000
Li 0.000 0.500 0.000
Li 0.000 0.000 0.500
Th 0.636 0.636 0.636
Th 0.364 0.364 0.364
Ni 0.413 0.413 0.809
Ni 0.877 0.877 0.429
Ni 0.429 0.877 0.877
Ni 0.809 0.413 0.413
Ni 0.877 0.429 0.877
Ni 0.413 0.809 0.413
Ni 0.587 0.587 0.191
Ni 0.123 0.123 0.571
Ni 0.571 0.123 0.123
Ni 0.191 0.587 0.587
Ni 0.123 0.571 0.123
Ni 0.587 0.191 0.587
Ge 0.000 0.000 0.000
! Energy of formation from the pure elements in meV/atom: 27
! Space group: R-3m, No. 166

---

(2)
! LiTmNiGe2 | the Alexandria database | GGA-PBE | relaxed; values from VASP
&SYSTEM
  ibrav = 0, nat = 5, ntyp = 4
/
ATOMIC_SPECIES
Li 6.94 Li.upf
Tm 168.93 Tm.upf
Ni 58.69 Ni.upf
Ge 72.64 Ge.upf
CELL_PARAMETERS angstrom
3.979 0.000 0.000
0.000 3.979 0.000
-1.990 -1.990 5.194
ATOMIC_POSITIONS crystal
Li 0.750 0.250 0.500
Tm 0.000 0.000 0.000
Ni 0.250 0.750 0.500
Ge 0.619 0.619 0.239
Ge 0.381 0.381 0.761
! Energy of formation from the pure elements in meV/atom: -601
! Space group: I-4m2, No. 119

---

(3)
! LiTmNi2Ge2 | the Alexandria database | GGA-PBE | relaxed; values from VASP
&SYSTEM
  ibrav = 0, nat = 6, ntyp = 4
/
ATOMIC_SPECIES
Li 6.94 Li.upf
Tm 168.93 Tm.upf
Ni 58.69 Ni.upf
Ge 72.64 Ge.upf
CELL_PARAMETERS angstrom
-3.652 -1.702 -0.631
3.028 -0.625 -2.660
1.843 -5.183 3.315
ATOMIC_POSITIONS crystal
Li 0.000 0.000 0.000
Tm 0.000 0.000 0.500
Ni 0.333 0.667 0.840
Ni 0.667 0.333 0.160
Ge 0.333 0.667 0.219
Ge 0.667 0.333 0.781
! Energy of formation from the pure elements in meV/atom: -607
! Space group: P-3m1, No. 164

---

(4)
! LiTm2Ni4Ge3 | the Alexandria database | GGA-PBE | relaxed; values from VASP
&SYSTEM
  ibrav = 0, nat = 10, ntyp = 4
/
ATOMIC_SPECIES
Li 6.94 Li.upf
Tm 168.93 Tm.upf
Ni 58.69 Ni.upf
Ge 72.64 Ge.upf
CELL_PARAMETERS angstrom
3.987 0.000 0.000
0.000 3.987 0.000
0.000 0.000 9.832
ATOMIC_POSITIONS crystal
Li 0.500 0.500 0.500
Tm 0.500 0.000 0.248
Tm 0.000 0.500 0.752
Ni 0.500 0.500 0.000
Ni 0.000 0.000 0.000
Ni 0.500 0.000 0.633
Ni 0.000 0.500 0.367
Ge 0.000 0.000 0.500
Ge 0.500 0.000 0.867
Ge 0.000 0.500 0.133
! Energy of formation from the pure elements in meV/atom: -601
! Space group: P-4m2, No. 115

---

(5)
! Li3Tm2Ni12Ge | the Alexandria database | GGA-PBE | relaxed; values from VASP
&SYSTEM
  ibrav = 0, nat = 18, ntyp = 4
/
ATOMIC_SPECIES
Li 6.94 Li.upf
Tm 168.93 Tm.upf
Ni 58.69 Ni.upf
Ge 72.64 Ge.upf
CELL_PARAMETERS angstrom
10.857 3.368 2.389
8.290 7.777 2.389
8.290 4.825 6.550
ATOMIC_POSITIONS crystal
Li 0.500 0.000 0.000
Li 0.000 0.500 0.000
Li 0.000 0.000 0.500
Tm 0.641 0.641 0.641
Tm 0.359 0.359 0.359
Ni 0.400 0.400 0.871
Ni 0.889 0.889 0.389
Ni 0.389 0.889 0.889
Ni 0.871 0.400 0.400
Ni 0.889 0.389 0.889
Ni 0.400 0.871 0.400
Ni 0.600 0.600 0.129
Ni 0.111 0.111 0.611
Ni 0.611 0.111 0.111
Ni 0.129 0.600 0.600
Ni 0.111 0.611 0.111
Ni 0.600 0.129 0.600
Ge 0.000 0.000 0.000
! Energy of formation from the pure elements in meV/atom: -8
! Space group: R-3m, No. 166

---

(6)
! LiUNi2Ge2 | the Alexandria database | GGA-PBE | relaxed; values from VASP
&SYSTEM
  ibrav = 0, nat = 6, ntyp = 4
/
ATOMIC_SPECIES
Li 6.94 Li.upf
U 238.03 U.upf
Ni 58.69 Ni.upf
Ge 72.64 Ge.upf
CELL_PARAMETERS angstrom
-2.821 -0.738 -2.919
3.955 0.545 -1.044
1.009 -6.190 0.590
ATOMIC_POSITIONS crystal
Li 0.000 0.000 0.500
U 0.000 0.000 0.000
Ni 0.667 0.333 0.275
Ni 0.333 0.667 0.725
Ge 0.667 0.333 0.701
Ge 0.333 0.667 0.299
! Energy of formation from the pure elements in meV/atom: -347
! Space group: P-3m1, No. 164

---

(7)
! LiYNi2Ge2 | the Alexandria database | GGA-PBE | relaxed; values from VASP
&SYSTEM
  ibrav = 0, nat = 6, ntyp = 4
/
ATOMIC_SPECIES
Li 6.94 Li.upf
Y 88.91 Y.upf
Ni 58.69 Ni.upf
Ge 72.64 Ge.upf
CELL_PARAMETERS angstrom
4.086 0.000 0.000
-2.043 3.538 0.000
0.000 0.000 6.550
ATOMIC_POSITIONS crystal
Li 0.000 0.000 0.500
Y 0.000 0.000 0.000
Ni 0.333 0.667 0.652
Ni 0.667 0.333 0.348
Ge 0.333 0.667 0.284
Ge 0.667 0.333 0.716
! Energy of formation from the pure elements in meV/atom: -626
! Space group: P-3m1, No. 164

---

(8)
! LiY2Ni3Ge4 | the Alexandria database | GGA-PBE | relaxed; values from VASP
&SYSTEM
  ibrav = 0, nat = 10, ntyp = 4
/
ATOMIC_SPECIES
Li 6.94 Li.upf
Y 88.91 Y.upf
Ni 58.69 Ni.upf
Ge 72.64 Ge.upf
CELL_PARAMETERS angstrom
-0.079 3.129 2.660
-4.100 0.096 -0.235
-0.576 -6.338 7.436
ATOMIC_POSITIONS crystal
Li 0.500 0.500 0.500
Y 0.500 0.000 0.249
Y 0.000 0.500 0.751
Ni 0.000 0.000 0.500
Ni 0.500 0.000 0.877
Ni 0.000 0.500 0.123
Ge 0.500 0.500 0.000
Ge 0.000 0.000 0.000
Ge 0.500 0.000 0.636
Ge 0.000 0.500 0.364
! Energy of formation from the pure elements in meV/atom: -652
! Space group: P-4m2, No. 115

---

(9)
! LiYNiGe2 | the Alexandria database | GGA-PBE | relaxed; values from VASP
&SYSTEM
  ibrav = 0, nat = 5, ntyp = 4
/
ATOMIC_SPECIES
Li 6.94 Li.upf
Y 88.91 Y.upf
Ni 58.69 Ni.upf
Ge 72.64 Ge.upf
CELL_PARAMETERS angstrom
4.036 0.000 0.000
0.000 4.036 0.000
-2.018 -2.018 5.165
ATOMIC_POSITIONS crystal
Li 0.750 0.250 0.500
Y 0.000 0.000 0.000
Ni 0.250 0.750 0.500
Ge 0.621 0.621 0.243
Ge 0.379 0.379 0.757
! Energy of formation from the pure elements in meV/atom: -633
! Space group: I-4m2, No. 119

---

(10)
! Li2ZnNi5Ge2 | the Alexandria database | GGA-PBE | relaxed; values from VASP
&SYSTEM
  ibrav = 0, nat = 20, ntyp = 4
/
ATOMIC_SPECIES
Li 6.94 Li.upf
Zn 65.41 Zn.upf
Ni 58.69 Ni.upf
Ge 72.64 Ge.upf
CELL_PARAMETERS angstrom
-0.220 -0.149 3.548
-6.663 -5.302 -0.635
5.314 -6.683 0.048
ATOMIC_POSITIONS crystal
Li 0.000 0.668 0.168
Li 0.000 0.332 0.832
Li 0.000 0.168 0.332
Li 0.000 0.832 0.668
Zn 0.000 0.000 0.000
Zn 0.000 0.500 0.500
Ni 0.500 0.198 0.072
Ni 0.500 0.802 0.928
Ni 0.500 0.072 0.802
Ni 0.500 0.698 0.428
Ni 0.500 0.928 0.198
Ni 0.500 0.302 0.572
Ni 0.500 0.572 0.698
Ni 0.500 0.428 0.302
Ni 0.500 0.500 0.000
Ni 0.500 0.000 0.500
Ge 0.000 0.131 0.631
Ge 0.000 0.869 0.369
Ge 0.000 0.631 0.869
Ge 0.000 0.369 0.131
! Energy of formation from the pure elements in meV/atom: -212
! Space group: P4/mbm, No. 127

---

(11)
! LiZrNiGe | the Alexandria database | GGA-PBE | relaxed; values from VASP
&SYSTEM
  ibrav = 0, nat = 4, ntyp = 4
/
ATOMIC_SPECIES
Ni 58.69 Ni.upf
Ge 72.64 Ge.upf
Zr 91.22 Zr.upf
Li 6.94 Li.upf
CELL_PARAMETERS angstrom
-1.003 -0.620 4.171
-3.538 -2.266 1.064
0.399 -3.940 1.762
ATOMIC_POSITIONS crystal
Ni 0.750 0.750 0.750
Ge 0.500 0.500 0.500
Zr 0.000 0.000 0.000
Li 0.250 0.250 0.250
! Energy of formation from the pure elements in meV/atom: -424
! Space group: F-43m, No. 216

---

(12)
! Li3NpGe3 | the Alexandria database | GGA-PBE | relaxed; values from VASP
&SYSTEM
  ibrav = 0, nat = 14, ntyp = 3
/
ATOMIC_SPECIES
Np 237.00 Np.upf
Ge 72.64 Ge.upf
Li 6.94 Li.upf
CELL_PARAMETERS angstrom
-4.320 2.258 4.413
-4.845 -0.687 -4.392
-1.047 -6.138 2.115
ATOMIC_POSITIONS crystal
Np 0.500 0.500 0.500
Np 0.000 0.000 0.000
Ge 0.000 0.250 0.500
Ge 0.000 0.750 0.500
Ge 0.500 0.000 0.750
Ge 0.750 0.500 0.000
Ge 0.500 0.000 0.250
Ge 0.250 0.500 0.000
Li 0.250 0.000 0.500
Li 0.000 0.500 0.250
Li 0.500 0.750 0.000
Li 0.750 0.000 0.500
Li 0.000 0.500 0.750
Li 0.500 0.250 0.000
! Energy of formation from the pure elements in meV/atom: 411
! Space group: Pm-3n, No. 223